## Tm6TcBi2 (PBE)

Data for a geometry-optimized Tm6TcBi2 structure.

Summary:
energy: -5.533 eV/atom
M_tot: 0.0 μB per cell

Cell lengths 8.1783, 8.1783, 4.2534 Å; angles 90.00, 90.00, 120.00 degrees
Space group P-62m (No. 189)
One atom of each set of equivalent atoms:
Tm 0.0000 0.3863 0.0000 (multiplicity 3)
Tm 0.0000 0.7675 0.5000 (multiplicity 3)
Tc 0.0000 0.0000 0.0000 (multiplicity 1)
Bi 0.3333 0.6667 0.5000 (multiplicity 2)

***

## TmTcBi (PBE)

Data for a geometry-optimized TmTcBi structure.

Summary:
energy: -5.538 eV/atom
M_tot: 0.1 μB per cell

Cell lengths 6.814, 6.814, 6.814 Å; angles 90.00, 90.00, 90.00 degrees
Space group F-43m (No. 216)
One atom of each set of equivalent atoms:
Tm 0.000 0.000 0.000 (multiplicity 4)
Tc 0.250 0.250 0.250 (multiplicity 4)
Bi 0.250 0.250 0.750 (multiplicity 4)